(1)
A relaxed LaTaCo2 crystal, computed with GGA-PBE.

a b c (Å): 5.733 5.733 5.733
angles (deg): 42.58 42.58 42.58
Fractional positions:
La 0.000 0.000 0.000
Ta 0.500 0.500 0.500
Co 0.204 0.204 0.204
Co 0.796 0.796 0.796

Properties
The energy above the most stable polymorph in this dataset is 51 meV/atom. The crystal system is trigonal. The calculation puts the magnetization at 0.0 μB/cell.

(2)
A relaxed DyEr2Pt crystal, computed with GGA-PBE.

a b c (Å): 9.675 9.675 9.675
angles (deg): 22.42 22.42 22.42
Fractional positions:
Dy 0.000 0.000 0.000
Er 0.229 0.229 0.229
Er 0.771 0.771 0.771
Pt 0.500 0.500 0.500

Properties
The energy above the most stable polymorph in this dataset is 230 meV/atom. The crystal system is trigonal. The calculation puts the magnetization at 0.0 μB/cell.

(3)
A relaxed AlTlO2 crystal, computed with GGA-PBE.

a b c (Å): 11.206 11.206 3.586
angles (deg): 90.00 90.00 161.66
Fractional positions:
Al 0.051 0.949 0.750
Al 0.949 0.051 0.250
Tl 0.322 0.678 0.750
Tl 0.678 0.322 0.250
O 0.034 0.966 0.250
O 0.129 0.871 0.750
O 0.871 0.129 0.250
O 0.966 0.034 0.750

Properties
Its formation energy from raw total energies is -657.7 kJ/mol of formula units. The energy above the most stable polymorph in this dataset is 425 meV/atom. The crystal system is orthorhombic. The calculation puts the magnetization at 0.0 μB/cell.

(4)
A relaxed Li2NdSmSi2 crystal, computed with GGA-PBE.

a b c (Å): 4.452 4.452 7.456
angles (deg): 90.00 90.00 120.00
Fractional positions:
Li 0.333 0.667 0.240
Li 0.667 0.333 0.760
Nd 0.000 0.000 0.500
Sm 0.000 0.000 0.000
Si 0.333 0.667 0.755
Si 0.667 0.333 0.245

Properties
Its formation energy from raw total energies is -313.3 kJ/mol of formula units. The crystal system is trigonal. The calculation puts the magnetization at 0.0 μB/cell.

magnetization of number 4 (Li2NdSmSi2)? 0.0 μB/cell